# 1
# NaSnOF2

A relaxed NaSnOF2 crystal (GGA-PBE, Alexandria).

Calculated values
As for the symmetry: P4/mmm. As for the crystal system: tetragonal. Its excess energy over the best structure of this formula in the dataset is 0 meV per atom. The calculation puts the density at 3845 kg/m3.

a = 4.5202 Å, b = 4.5202 Å, c = 4.1367 Å
α = 90.00°, β = 90.00°, γ = 90.00°
Positions (direct):
Na (0.0000, 0.0000, 0.0000)
Sn (0.5000, 0.5000, 0.5000)
O (0.5000, 0.5000, 0.0000)
F (0.0000, 0.5000, 0.5000)
F (0.5000, 0.0000, 0.5000)

---

# 2
# FeNiHg2

A relaxed FeNiHg2 crystal (GGA-PBE, Alexandria).

Calculated values
As for the symmetry: F-43m. As for the crystal system: cubic. Its excess energy over the best structure of this formula in the dataset is 232 meV per atom. The calculation puts the density at 12785 kg/m3.

a = 6.4468 Å, b = 6.4468 Å, c = 6.4468 Å
α = 90.00°, β = 90.00°, γ = 90.00°
Positions (direct):
Fe (0.0000, 0.0000, 0.0000)
Fe (0.0000, 0.5000, 0.5000)
Fe (0.5000, 0.0000, 0.5000)
Fe (0.5000, 0.5000, 0.0000)
Ni (0.2500, 0.2500, 0.2500)
Ni (0.2500, 0.7500, 0.7500)
Ni (0.7500, 0.2500, 0.7500)
Ni (0.7500, 0.7500, 0.2500)
Hg (0.0000, 0.0000, 0.5000)
Hg (0.0000, 0.5000, 0.0000)
Hg (0.2500, 0.2500, 0.7500)
Hg (0.2500, 0.7500, 0.2500)
Hg (0.5000, 0.0000, 0.0000)
Hg (0.5000, 0.5000, 0.5000)
Hg (0.7500, 0.2500, 0.2500)
Hg (0.7500, 0.7500, 0.7500)